[1]
Below is a crystal of Y2ZnIrC relaxed with PBEsol, with properties calculated at the meta-GGA SCAN level.

a = 5.131 Å, b = 5.131 Å, c = 4.379 Å
α = 90.00°, β = 90.00°, γ = 90.00°
Space group P4/mmm (No. 123)
Symmetry-distinct sites (fractional):
Y: 0.000 0.500 0.000 x2
Zn: 0.000 0.000 0.000 x1
Ir: 0.000 0.000 0.500 x1
C: 0.500 0.500 0.500 x1

energy of formation from the pure elements: 1.182 eV per atom
DFT total energy: -28.898 eV/atom


[2]
Below is a crystal of Be3HgSe relaxed with PBEsol, with properties calculated at the meta-GGA SCAN level.

a = 4.448 Å, b = 4.448 Å, c = 4.448 Å
α = 90.00°, β = 90.00°, γ = 90.00°
Space group Pm-3m (No. 221)
Symmetry-distinct sites (fractional):
Be: 0.000 0.000 0.500 x3
Hg: 0.000 0.000 0.000 x1
Se: 0.500 0.500 0.500 x1

DFT total energy: -19.461 eV/atom


[3]
Below is a crystal of CaCo2BiPt relaxed with PBEsol, with properties calculated at the meta-GGA SCAN level.

a = 4.666 Å, b = 4.666 Å, c = 5.156 Å
α = 90.00°, β = 90.00°, γ = 90.00°
Space group P4/mmm (No. 123)
Symmetry-distinct sites (fractional):
Ca: 0.000 0.000 0.000 x1
Co: 0.000 0.500 0.500 x2
Bi: 0.500 0.500 0.000 x1
Pt: 0.000 0.000 0.500 x1

energy of formation from the pure elements: 0.342 eV per atom
DFT total energy: -38.267 eV/atom


[4]
Below is a crystal of Li2Al2CrSbO8 relaxed with PBEsol, with properties calculated at the meta-GGA SCAN level.

a = 9.921 Å, b = 5.748 Å, c = 9.451 Å
α = 90.00°, β = 90.22°, γ = 90.00°
Space group Cm (No. 8)
Symmetry-distinct sites (fractional):
Li: 0.000 0.000 0.000 x2
Li: 0.004 0.000 0.496 x2
Li: 0.170 0.500 0.918 x2
Li: 0.335 0.000 0.414 x2
Al: 0.086 0.255 0.224 x4
Al: 0.173 0.000 0.723 x2
Al: 0.332 0.500 0.224 x2
Cr: 0.418 0.246 0.724 x4
Sb: 0.169 0.500 0.495 x2
Sb: 0.334 0.000 0.999 x2
O: 0.002 0.000 0.308 x2
O: 0.011 0.000 0.815 x2
O: 0.018 0.500 0.349 x2
O: 0.088 0.242 0.608 x4
O: 0.164 0.000 0.111 x2
O: 0.168 0.500 0.124 x2
O: 0.244 0.275 0.348 x4
O: 0.260 0.225 0.850 x4
O: 0.329 0.000 0.619 x2
O: 0.342 0.500 0.604 x2
O: 0.420 0.255 0.112 x4
O: 0.486 0.000 0.852 x2

DFT total energy: -11.592 eV/atom


[5]
Below is a crystal of Cs2CuBiF6 relaxed with PBEsol, with properties calculated at the meta-GGA SCAN level.

a = 8.946 Å, b = 8.946 Å, c = 8.946 Å
α = 90.00°, β = 90.00°, γ = 90.00°
Space group Fm-3m (No. 225)
Symmetry-distinct sites (fractional):
Cs: 0.250 0.250 0.250 x8
Cu: 0.000 0.000 0.000 x4
Bi: 0.000 0.000 0.500 x4
F: 0.000 0.000 0.244 x24

DFT total energy: -21.422 eV/atom


[6]
Below is a crystal of BaSc3In relaxed with PBEsol, with properties calculated at the meta-GGA SCAN level.

a = 5.224 Å, b = 5.224 Å, c = 5.224 Å
α = 90.00°, β = 90.00°, γ = 90.00°
Space group Pm-3m (No. 221)
Symmetry-distinct sites (fractional):
Ba: 0.000 0.000 0.000 x1
Sc: 0.000 0.000 0.500 x3
In: 0.500 0.500 0.500 x1

energy of formation from the pure elements: 1.122 eV per atom
DFT total energy: -22.008 eV/atom


[7]
Below is a crystal of Cd3SCl relaxed with PBEsol, with properties calculated at the meta-GGA SCAN level.

a = 5.211 Å, b = 5.211 Å, c = 5.211 Å
α = 90.00°, β = 90.00°, γ = 90.00°
Space group Pm-3m (No. 221)
Symmetry-distinct sites (fractional):
Cd: 0.000 0.000 0.500 x3
S: 0.000 0.000 0.000 x1
Cl: 0.500 0.500 0.500 x1

DFT total energy: -21.803 eV/atom


[8]
Below is a crystal of CeEr3 relaxed with PBEsol, with properties calculated at the meta-GGA SCAN level.

a = 6.9404 Å, b = 6.9404 Å, c = 5.5225 Å
α = 90.00°, β = 90.00°, γ = 120.00°
Space group P6_3/mmc (No. 194)
Symmetry-distinct sites (fractional):
Ce: 0.3333 0.6667 0.2500 x2
Er: 0.1677 0.3354 0.7500 x6

energy above the lowest structure with this stoichiometry: 0 meV/atom
energy of formation from the pure elements: 0.050 eV per atom
DFT total energy: -48.846 eV/atom